w:
Pr2SiAs PBE relaxed; ρ = 5.68 g/cm3; M_tot = 0.0 μB per cell
1.0
4.2289 0.0000 0.0000
2.1145 3.6623 0.0000
2.1145 1.2208 7.2615
Pr As Si
2 1 1
direct
0.7519 0.7519 0.7444
0.2481 0.2481 0.2556
0.5000 0.5000 0.5000
0.0000 0.0000 0.0000

---

x:
Pr2SiAs PBE relaxed; ρ = 5.92 g/cm3; M_tot = 0.0 μB per cell
1.0
4.1037 0.0000 0.0000
0.0000 4.3451 -0.7717
0.0000 -0.0888 12.1178
Pr Si As
4 2 2
direct
0.7500 0.6870 0.3740
0.2500 0.3130 0.6260
0.7500 0.9347 0.8693
0.2500 0.0653 0.1307
0.2500 0.4670 0.9340
0.7500 0.5330 0.0660
0.2500 0.1879 0.3759
0.7500 0.8121 0.6241

---

Ordering by calculated energy gives the sequence x, w, with the first entry being the most stable.